No. 1
ThRePd (GGA-PBE, optimized geometry); M_tot = 0.0 μB/cell; distance to the lowest polymorph of the same formula = 0.000 kcal/mol of atoms; space-group type = F-43m
1.0
-3.7558 -1.4347 -2.1944
-3.6511 2.7464 -0.3269
-1.1319 1.8337 -4.0418
Pd Re Th
1 1 1
Cartesian
-6.4041 2.3590 -4.9222 Pd
0.0000 0.0000 0.0000 Re
-2.1347 0.7863 -1.6407 Th

***

No. 2
TlRePd (GGA-PBE, optimized geometry); M_tot = 1.9 μB/cell; distance to the lowest polymorph of the same formula = 0.000 kcal/mol of atoms; space-group type = F-43m
1.0
2.9766 0.4595 3.2924
2.2635 3.8198 0.4443
-0.8673 2.7216 3.4282
Pd Re Tl
1 1 1
Cartesian
1.0932 1.7502 1.7912 Pd
0.0000 0.0000 0.0000 Re
3.2796 5.2507 5.3737 Tl

***

No. 3
TlRe2Pd (GGA-PBE, optimized geometry); E_tot = -7.324 eV per atom; M_tot = 0.8 μB/cell; space-group type = F-43m
1.0
-3.2858 -0.8338 3.0419
-3.4979 -2.6985 -1.1081
-0.3708 -4.1336 1.8763
Pd Re Tl
1 2 1
Cartesian
-1.7886 -1.9165 0.9525 Pd
0.0000 0.0000 0.0000 Re
-5.3659 -5.7494 2.8576 Re
-3.5773 -3.8329 1.9051 Tl

***

No. 4
TlRePd2 (GGA-PBE, optimized geometry); E_tot = -5.723 eV per atom; M_tot = 1.6 μB/cell; space-group type = F-43m
1.0
0.0000 3.2301 3.2301
3.2301 0.0000 3.2301
3.2301 3.2301 0.0000
Pd Re Tl
2 1 1
Cartesian
0.0000 0.0000 0.0000 Pd
4.8451 4.8451 4.8451 Pd
1.6150 1.6150 1.6150 Re
3.2301 3.2301 3.2301 Tl

***

No. 5
URePd (GGA-PBE, optimized geometry); E_tot = -8.950 eV per atom; M_tot = 0.7 μB/cell; space-group type = F-43m
1.0
-1.9288 -3.8897 0.9430
-3.7807 -0.0974 2.3315
-3.8081 -1.1313 -1.9893
Pd Re U
1 1 1
Cartesian
0.0000 0.0000 0.0000 Pd
-2.3794 -1.2796 0.3213 Re
-7.1382 -3.8388 0.9638 U

***

No. 6
URePd (GGA-PBE, optimized geometry); E_tot = -8.949 eV per atom; M_tot = 0.5 μB/cell; space-group type = F-43m
1.0
-1.8666 -2.0894 3.4802
-3.5347 -2.6602 -0.6250
0.4288 -4.4253 0.4411
Pd Re U
1 1 1
Cartesian
-1.2431 -2.2937 0.8241 Pd
-3.7293 -6.8812 2.4722 Re
0.0000 0.0000 0.0000 U

***

No. 7
RePd3W4 (GGA-PBE, optimized geometry); E_tot = -8.765 eV per atom; M_tot = 0.0 μB/cell; space-group type = Pm-3m
1.0
-1.9520 -0.8346 4.7615
3.9598 -3.2216 1.0587
2.7729 4.0130 1.8402
Pd Re W
3 1 4
Cartesian
1.0039 -2.0281 2.9101 Pd
0.4104 1.5892 3.3009 Pd
3.3663 0.3957 1.4494 Pd
0.0000 0.0000 0.0000 Re
-0.9760 -0.4173 2.3808 W
1.9799 -1.6108 0.5293 W
1.3864 2.0065 0.9201 W
2.3903 -0.0216 3.8302 W

***

No. 8
YRePd (GGA-PBE, optimized geometry); M_tot = 2.6 μB/cell; distance to the lowest polymorph of the same formula = 9.808 kcal/mol of atoms; space-group type = F-43m
1.0
0.0000 3.2484 3.2484
3.2484 0.0000 3.2484
3.2484 3.2484 0.0000
Pd Re Y
1 1 1
Cartesian
1.6242 1.6242 1.6242 Pd
4.8725 4.8725 4.8725 Re
0.0000 0.0000 0.0000 Y

***

No. 9
YRePd (GGA-PBE, optimized geometry); M_tot = 1.3 μB/cell; distance to the lowest polymorph of the same formula = 0.000 kcal/mol of atoms; space-group type = F-43m
1.0
-0.3779 2.0017 4.0047
-2.2039 3.8984 0.3639
-3.9837 0.1435 2.0728
Pd Re Y
1 1 1
Cartesian
-1.6414 1.5109 1.6103 Pd
0.0000 0.0000 0.0000 Re
-4.9241 4.5327 4.8310 Y

***

No. 10
PdS (GGA-PBE, optimized geometry); E_tot = -4.736 eV per atom; space-group type = P4_2/m
1.0
-4.8933 -4.3868 0.1988
4.3644 -4.8912 -0.5057
0.4745 -0.2389 6.4062
Pd S
8 8
Cartesian
0.0000 0.0000 0.0000 Pd
-2.4466 -2.1934 0.0994 Pd
0.7342 -3.3882 -0.1807 Pd
-1.2631 -5.8899 -0.1261 Pd
0.2372 -0.1195 3.2031 Pd
-1.2727 -3.7613 3.1791 Pd
2.4194 -2.5651 2.9503 Pd
1.2183 -5.7557 2.9202 Pd
-0.5462 -2.3014 1.4847 S
0.2424 -7.0900 1.2477 S
-2.5303 -5.1035 1.6921 S
2.2508 -4.3001 1.3680 S
-2.3052 -5.2168 4.7314 S
2.4759 -4.4135 4.4072 S
-0.2968 -2.4270 4.8516 S
0.4918 -7.2156 4.6147 S

***

No. 11
PdS (GGA-PBE, optimized geometry); E_tot = -5.001 eV per atom; space-group type = C2/c
1.0
2.6051 -2.3611 0.0000
2.6051 2.3611 0.0000
-0.1945 0.0000 6.2027
Pd S
2 2
Cartesian
1.3025 1.1806 0.0000 Pd
1.2053 -1.1805 3.1013 Pd
2.5564 -0.0486 1.5507 S
2.4592 0.0486 4.6520 S

***

No. 12
PdS (GGA-PBE, optimized geometry); E_tot = -4.749 eV per atom; space-group type = F-43m
1.0
0.0000 2.7156 2.7156
2.7156 0.0000 2.7156
2.7156 2.7156 0.0000
Pd S
1 1
Cartesian
0.0000 0.0000 0.0000 Pd
1.3578 1.3578 1.3578 S